Record 1
{"formula": "Mg2CoSe", "functional": "PBEsol", "state": "relaxed", "lattice": [[1.8011, 1.0398, 6.7226], [-1.8011, 1.0398, 6.7226], [0.0000, -2.0797, 6.7226]], "species": ["Mg", "Mg", "Co", "Se"], "fractional_positions": [[0.2486, 0.2486, 0.2486], [0.7514, 0.7514, 0.7514], [0.0000, 0.0000, 0.0000], [0.5000, 0.5000, 0.5000]], "raw_formation_energy_ev_per_atom": 0.0247, "dft_energy_ev_per_atom": -3.7306, "total_magnetization_mub_per_cell": 1.19}

---

Record 2
{"formula": "Mg2TlCd", "functional": "PBEsol", "state": "relaxed", "lattice": [[1.6748, 0.9669, 9.3790], [-1.6748, 0.9669, 9.3790], [0.0000, -1.9339, 9.3790]], "species": ["Mg", "Mg", "Tl", "Cd"], "fractional_positions": [[0.2479, 0.2479, 0.2479], [0.7521, 0.7521, 0.7521], [0.0000, 0.0000, 0.0000], [0.5000, 0.5000, 0.5000]], "e_form_ev_per_atom": -0.061, "dft_energy_ev_per_atom": -1.8766, "total_magnetization_mub_per_cell": 0.00}

---

Record 3
{"formula": "ZrCuRu2", "functional": "PBEsol", "state": "relaxed", "lattice": [[-1.9216, 1.9216, 3.9502], [1.9216, -1.9216, 3.9502], [1.9216, 1.9216, -3.9502]], "species": ["Zr", "Cu", "Ru", "Ru"], "fractional_positions": [[0.0000, 0.0000, 0.0000], [0.7500, 0.2500, 0.5000], [0.2500, 0.7500, 0.5000], [0.5000, 0.5000, 0.0000]], "e_form_ev_per_atom": -0.057, "dft_energy_ev_per_atom": -8.4996, "total_magnetization_mub_per_cell": 0.00}

---

Record 4
{"formula": "LaGaHgB2", "functional": "PBEsol", "state": "relaxed", "lattice": [[4.2843, 0.0000, 0.0000], [0.0000, 4.2843, 0.0000], [0.0000, 0.0000, 5.9095]], "species": ["La", "Ga", "Hg", "B", "B"], "fractional_positions": [[0.0000, 0.0000, 0.0000], [0.5000, 0.5000, 0.0000], [0.0000, 0.0000, 0.5000], [0.0000, 0.5000, 0.5000], [0.5000, 0.0000, 0.5000]], "e_form_ev_per_atom": 1.257, "dft_energy_ev_per_atom": -3.4005, "total_magnetization_mub_per_cell": 0.00}